A | # Pm5Pr2Ho4

An optimized crystal structure of Pm5Pr2Ho4 (PBE, the Alexandria database).

Output
Theoretical density in Mg/m³: 7.22
DOS at the Fermi energy in states/eV per cell: 15.75
Symmetry: Immm, No. 71

Lattice parameters (Å, degrees): 3.541 9.174 12.785 111.03 97.96 90.00
Atoms (fractional coordinates):
1 Pm 0.858 0.055 0.715
2 Pm 0.858 0.660 0.715
3 Pm 0.142 0.340 0.285
4 Pm 0.142 0.945 0.285
5 Pm 0.500 0.000 0.000
6 Pr 0.268 0.268 0.536
7 Pr 0.732 0.732 0.464
8 Ho 0.000 0.314 0.000
9 Ho 0.596 0.596 0.193
10 Ho 0.000 0.686 0.000
11 Ho 0.404 0.404 0.807

B | # Pm5Pr2Ho4

An optimized crystal structure of Pm5Pr2Ho4 (PBE, the Alexandria database).

Output
Theoretical density in Mg/m³: 7.46
DOS at the Fermi energy in states/eV per cell: 15.28
Symmetry: C2/m, No. 12

Lattice parameters (Å, degrees): 3.560 11.730 9.086 93.98 101.30 90.00
Atoms (fractional coordinates):
1 Pm 0.905 0.464 0.810
2 Pm 0.095 0.536 0.190
3 Pm 0.824 0.932 0.648
4 Pm 0.500 0.000 0.000
5 Pm 0.176 0.068 0.352
6 Pr 0.716 0.351 0.432
7 Pr 0.284 0.649 0.568
8 Ho 0.360 0.202 0.721
9 Ho 0.968 0.743 0.936
10 Ho 0.640 0.798 0.279
11 Ho 0.032 0.257 0.064

Energy ordering: B at the bottom, the next structure 106 meV per atom above.

A | # Pm2Pr3Ho7

An optimized crystal structure of Pm2Pr3Ho7 (PBE, the Alexandria database).

Output
Theoretical density in Mg/m³: 7.27
DOS at the Fermi energy in states/eV per cell: 19.50
Symmetry: P2/m, No. 10

Lattice parameters (Å, degrees): 5.684 6.088 12.379 95.55 90.00 90.00
Atoms (fractional coordinates):
1 Pm 0.500 0.640 0.293
2 Pm 0.500 0.360 0.707
3 Pr 0.500 0.500 0.000
4 Pr 0.000 0.975 0.322
5 Pr 0.000 0.025 0.678
6 Ho 0.500 0.224 0.438
7 Ho 0.500 0.776 0.562
8 Ho 0.000 0.455 0.172
9 Ho 0.000 0.000 0.000
10 Ho 0.000 0.545 0.828
11 Ho 0.500 0.908 0.841
12 Ho 0.500 0.092 0.159

B | # Pm2Pr3Ho7

An optimized crystal structure of Pm2Pr3Ho7 (PBE, the Alexandria database).

Output
Theoretical density in Mg/m³: 7.79
DOS at the Fermi energy in states/eV per cell: 14.54
Symmetry: P2/m, No. 10

Lattice parameters (Å, degrees): 3.596 5.861 18.927 93.15 90.00 90.00
Atoms (fractional coordinates):
1 Pm 0.500 0.711 0.292
2 Pm 0.500 0.289 0.708
3 Pr 0.500 0.500 0.000
4 Pr 0.000 0.223 0.368
5 Pr 0.000 0.777 0.632
6 Ho 0.500 0.743 0.462
7 Ho 0.500 0.257 0.538
8 Ho 0.000 0.691 0.143
9 Ho 0.000 0.000 0.000
10 Ho 0.000 0.309 0.857
11 Ho 0.500 0.807 0.828
12 Ho 0.500 0.193 0.172

Energy ordering: B at the bottom, the next structure 217 meV per atom above.

A | # Pm7PrHo2

An optimized crystal structure of Pm7PrHo2 (PBE, the Alexandria database).

Output
Theoretical density in Mg/m³: 6.83
DOS at the Fermi energy in states/eV per cell: 16.09
Symmetry: Cmmm, No. 65

Lattice parameters (Å, degrees): 3.511 10.437 10.437 109.28 90.00 90.00
Atoms (fractional coordinates):
1 Pm 0.000 0.676 0.324
2 Pm 0.000 0.324 0.676
3 Pm 0.500 0.124 0.389
4 Pm 0.500 0.876 0.611
5 Pm 0.500 0.389 0.124
6 Pm 0.500 0.611 0.876
7 Pm 0.500 0.500 0.500
8 Pr 0.000 0.000 0.000
9 Ho 0.500 0.830 0.170
10 Ho 0.500 0.170 0.830

B | # Pm7PrHo2

An optimized crystal structure of Pm7PrHo2 (PBE, the Alexandria database).

Output
Theoretical density in Mg/m³: 5.97
DOS at the Fermi energy in states/eV per cell: 14.27
Symmetry: Cmmm, No. 65

Lattice parameters (Å, degrees): 5.744 9.219 9.219 122.14 90.00 90.00
Atoms (fractional coordinates):
1 Pm 0.000 0.772 0.228
2 Pm 0.000 0.228 0.772
3 Pm 0.500 0.063 0.295
4 Pm 0.500 0.937 0.705
5 Pm 0.500 0.295 0.063
6 Pm 0.500 0.705 0.937
7 Pm 0.500 0.500 0.500
8 Pr 0.000 0.000 0.000
9 Ho 0.500 0.704 0.296
10 Ho 0.500 0.296 0.704

Energy ordering: A at the bottom, the next structure 261 meV per atom above.

A | # PmPr3Ho2

An optimized crystal structure of PmPr3Ho2 (PBE, the Alexandria database).

Output
Theoretical density in Mg/m³: 7.13
DOS at the Fermi energy in states/eV per cell: 19.64
Symmetry: C2/m, No. 12

Lattice parameters (Å, degrees): 3.569 6.928 17.822 79.56 84.25 75.07
Atoms (fractional coordinates):
1 Pm 0.456 0.407 0.680
2 Pm 0.544 0.593 0.320
3 Pr 0.067 0.032 0.834
4 Pr 0.933 0.968 0.166
5 Pr 0.627 0.736 0.010
6 Pr 0.373 0.264 0.990
7 Pr 0.727 0.881 0.664
8 Pr 0.273 0.119 0.336
9 Ho 0.803 0.560 0.835
10 Ho 0.197 0.440 0.165
11 Ho 0.635 0.234 0.497
12 Ho 0.365 0.766 0.503

B | # PmPr3Ho2

An optimized crystal structure of PmPr3Ho2 (PBE, the Alexandria database).

Output
Theoretical density in Mg/m³: 6.80
DOS at the Fermi energy in states/eV per cell: 18.71
Symmetry: Imma, No. 74

Lattice parameters (Å, degrees): 6.541 11.518 8.816 130.78 111.78 90.00
Atoms (fractional coordinates):
1 Pm 0.540 0.250 0.500
2 Pm 0.460 0.750 0.500
3 Pr 0.000 0.716 0.000
4 Pr 0.000 0.284 0.000
5 Pr 0.500 0.784 0.000
6 Pr 0.000 0.000 0.500
7 Pr 0.000 0.500 0.500
8 Pr 0.500 0.216 0.000
9 Ho 0.098 0.906 0.813
10 Ho 0.214 0.406 0.813
11 Ho 0.786 0.594 0.187
12 Ho 0.902 0.094 0.187

Energy ordering: A at the bottom, the next structure 183 meV per atom above.